This record from Alexandria via LeMat-Bulk describes crystalline Tl2VAs at its relaxed geometry. The functional is PBE.

Results
The value obtained for the magnetization is 6.271 μB per cell. For the energy above the lowest structure with this stoichiometry, the calculation gives 0.00 eV per formula unit. The uncorrected energy is -32.8 eV/cell. The density comes out at 9.1 g cm⁻³. The calculation puts the calculated formation energy at 0.529 eV per atom.

Cell lengths 8.202, 8.202, 6.482 Å; angles 50.75, 50.75, 90.00 degrees
Last column: magnetic moment on the atom in μB.
Fractional coordinates of all 8 atoms:
Tl 0.633 0.125 0.250  0.01
Tl 0.117 0.625 0.250  0.01
Tl 0.375 0.367 0.750  0.01
Tl 0.875 0.883 0.750  0.01
As 0.000 0.000 0.000  -0.11
As 0.750 0.250 0.500  -0.11
V 0.500 0.500 0.000  2.72
V 0.250 0.750 0.500  2.72

This record from Alexandria via LeMat-Bulk describes crystalline Li2OsBr at its relaxed geometry. The functional is PBE.

Results
The value obtained for the magnetization is 0.526 μB per cell. As for the formation energy from raw total energies: 49.47 kJ/mol of atoms. For the energy above the lowest structure with this stoichiometry, the calculation gives 1.97 eV per formula unit. The uncorrected energy is -14.7 eV/cell. The density comes out at 7.9 g cm⁻³.

Cell lengths 5.155, 5.155, 5.155 Å; angles 138.57, 138.57, 60.04 degrees
Last column: magnetic moment on the atom in μB.
Fractional coordinates of all 4 atoms:
Br 0.750 0.250 0.500  0.04
Li 0.000 0.000 0.000  -0.01
Li 0.250 0.750 0.500  0.00
Os 0.500 0.500 0.000  0.45

This record from Alexandria via LeMat-Bulk describes crystalline NaBi2Pd5 at its relaxed geometry. The functional is PBE.

Results
The value obtained for the magnetization is 0.000 μB per cell. The uncorrected energy is -36.6 eV/cell. The density comes out at 9.7 g cm⁻³. The calculation puts the calculated formation energy at -0.190 eV per atom.

Cell lengths 4.035, 6.895, 6.895 Å; angles 68.89, 72.99, 72.99 degrees
Fractional coordinates of all 8 atoms:
Na 0.000 0.000 0.000
Bi 0.742 0.758 0.758
Bi 0.258 0.242 0.242
Pd 0.000 0.500 0.500
Pd 0.634 0.553 0.179
Pd 0.366 0.447 0.821
Pd 0.366 0.821 0.447
Pd 0.634 0.179 0.553

This record from Alexandria via LeMat-Bulk describes crystalline BaIrCl4 at its relaxed geometry. The functional is PBE.

Results
The value obtained for the magnetization is 4.792 μB per cell. As for the formation energy from raw total energies: 19.64 kJ/mol of atoms. The uncorrected energy is -16.9 eV/cell. The density comes out at 4.9 g cm⁻³.

Cell lengths 6.079, 6.079, 6.079 Å; angles 60.00, 60.00, 60.00 degrees
Last column: magnetic moment on the atom in μB.
Fractional coordinates of all 6 atoms:
Ba 0.000 0.000 0.000  0.01
Ir 0.750 0.750 0.750  2.32
Cl 0.873 0.376 0.376  0.42
Cl 0.376 0.376 0.873  0.42
Cl 0.376 0.873 0.376  0.42
Cl 0.376 0.376 0.376  0.42

This record from Alexandria via LeMat-Bulk describes crystalline YNb3Fe8 at its relaxed geometry. The functional is PBE.

Results
The value obtained for the magnetization is 12.252 μB per cell. The uncorrected energy is -105.2 eV/cell. The density comes out at 8.1 g cm⁻³. The calculation puts the calculated formation energy at -0.072 eV per atom.

Cell lengths 4.910, 4.910, 8.038 Å; angles 90.00, 90.00, 120.00 degrees
Last column: magnetic moment on the atom in μB.
Fractional coordinates of all 12 atoms:
Y 0.000 0.000 0.564  -0.26
Nb 0.667 0.333 0.424  -0.63
Nb 0.667 0.333 0.059  -0.34
Nb 0.000 0.000 0.949  -0.48
Fe 0.333 0.667 0.498  1.95
Fe 0.333 0.667 0.001  1.73
Fe 0.502 0.004 0.757  1.87
Fe 0.502 0.498 0.757  1.87
Fe 0.996 0.498 0.757  1.87
Fe 0.166 0.332 0.244  1.70
Fe 0.166 0.834 0.244  1.70
Fe 0.668 0.834 0.244  1.70

This record from Alexandria via LeMat-Bulk describes crystalline NaTl4HgPb at its relaxed geometry. The functional is PBE.

Results
The value obtained for the magnetization is 0.000 μB per cell. The uncorrected energy is -29.8 eV/cell. The density comes out at 9.7 g cm⁻³. The calculation puts the calculated formation energy at -0.012 eV per atom.

Cell lengths 6.516, 6.516, 11.693 Å; angles 93.30, 93.30, 59.14 degrees
Fractional coordinates of all 14 atoms:
Na 0.945 0.945 0.247
Na 0.055 0.055 0.753
Tl 0.155 0.155 0.498
Tl 0.845 0.845 0.502
Tl 0.928 0.446 0.249
Tl 0.598 0.598 0.911
Tl 0.554 0.072 0.751
Tl 0.446 0.928 0.249
Tl 0.402 0.402 0.089
Tl 0.072 0.554 0.751
Hg 0.135 0.135 0.007
Hg 0.865 0.865 0.993
Pb 0.564 0.564 0.622
Pb 0.436 0.436 0.378

This record from Alexandria via LeMat-Bulk describes crystalline Rb2SmCdCl6 at its relaxed geometry. The functional is PBE.

Results
The value obtained for the magnetization is 1.452 μB per cell. As for the formation energy from raw total energies: -169.16 kJ/mol of atoms. The uncorrected energy is -72.4 eV/cell. The density comes out at 3.0 g cm⁻³.

Cell lengths 8.044, 7.860, 11.239 Å; angles 90.00, 90.00, 90.00 degrees
Last column: magnetic moment on the atom in μB.
Fractional coordinates of all 20 atoms:
Rb 0.500 0.780 0.222  0.00
Rb 0.000 0.220 0.722  0.00
Rb 0.500 0.780 0.778  0.00
Rb 0.000 0.220 0.278  0.00
Sm 0.000 0.741 0.500  0.05
Sm 0.500 0.259 0.000  0.05
Cd 0.500 0.249 0.500  0.26
Cd 0.000 0.751 0.000  0.26
Cl 0.500 0.233 0.240  0.02
Cl 0.500 0.233 0.760  0.02
Cl 0.000 0.767 0.260  0.02
Cl 0.000 0.767 0.740  0.02
Cl 0.238 0.986 0.500  0.02
Cl 0.762 0.986 0.500  0.02
Cl 0.226 0.488 0.500  0.03
Cl 0.774 0.488 0.500  0.03
Cl 0.726 0.512 0.000  0.03
Cl 0.274 0.512 0.000  0.03
Cl 0.262 0.014 0.000  0.02
Cl 0.738 0.014 0.000  0.02

This record from Alexandria via LeMat-Bulk describes crystalline PrNd2Ir at its relaxed geometry. The functional is PBE.

Results
The value obtained for the magnetization is 0.000 μB per cell. For the energy above the lowest structure with this stoichiometry, the calculation gives 0.00 eV per formula unit. The uncorrected energy is -99.7 eV/cell. The density comes out at 8.6 g cm⁻³. The calculation puts the calculated formation energy at -0.439 eV per atom.

Cell lengths 6.581, 7.407, 9.903 Å; angles 90.00, 90.00, 90.00 degrees
Fractional coordinates of all 16 atoms:
Pr 0.643 0.536 0.250
Pr 0.857 0.036 0.250
Pr 0.357 0.464 0.750
Pr 0.143 0.964 0.750
Nd 0.171 0.675 0.066
Nd 0.329 0.175 0.434
Nd 0.829 0.325 0.566
Nd 0.671 0.825 0.934
Nd 0.829 0.325 0.934
Nd 0.671 0.825 0.566
Nd 0.171 0.675 0.434
Nd 0.329 0.175 0.066
Ir 0.065 0.381 0.250
Ir 0.435 0.881 0.250
Ir 0.935 0.619 0.750
Ir 0.565 0.119 0.750

This record from Alexandria via LeMat-Bulk describes crystalline Na3MnAs2 at its relaxed geometry. The functional is PBE.

Results
The value obtained for the magnetization is 8.039 μB per cell. The uncorrected energy is -49.0 eV/cell. The density comes out at 3.1 g cm⁻³. The calculation puts the calculated formation energy at -0.347 eV per atom.

Cell lengths 6.792, 6.230, 8.292 Å; angles 112.06, 114.18, 90.00 degrees
Last column: magnetic moment on the atom in μB.
Fractional coordinates of all 12 atoms:
Na 0.393 0.684 0.369  0.01
Na 0.607 0.316 0.631  0.01
Na 0.024 0.816 0.631  0.01
Na 0.976 0.184 0.369  0.01
Na 0.500 0.750 0.000  0.01
Na 0.500 0.250 0.000  0.01
Mn 0.000 0.250 0.000  3.62
Mn 0.000 0.750 0.000  3.62
As 0.302 0.104 0.209  -0.05
As 0.698 0.896 0.791  -0.05
As 0.093 0.396 0.791  -0.05
As 0.907 0.604 0.209  -0.05

This record from Alexandria via LeMat-Bulk describes crystalline Ta2VAg2S6 at its relaxed geometry. The functional is PBE.

Results
The value obtained for the magnetization is 1.632 μB per cell. As for the formation energy from raw total energies: -69.14 kJ/mol of atoms. The uncorrected energy is -71.2 eV/cell. The density comes out at 5.9 g cm⁻³.

Cell lengths 5.989, 5.989, 12.026 Å; angles 112.35, 112.35, 121.52 degrees
Last column: magnetic moment on the atom in μB.
Fractional coordinates of all 11 atoms:
Ta 0.361 0.639 0.500  -0.07
Ta 0.639 0.361 0.500  -0.07
V 0.000 0.000 0.500  1.59
Ag 0.834 0.166 0.000  0.01
Ag 0.166 0.834 0.000  0.01
S 0.023 0.023 0.713  -0.01
S 0.283 0.622 0.684  -0.01
S 0.977 0.977 0.287  -0.01
S 0.622 0.283 0.684  -0.01
S 0.717 0.378 0.316  -0.01
S 0.378 0.717 0.316  -0.01

This record from Alexandria via LeMat-Bulk describes crystalline H2PdSe at its relaxed geometry. The functional is PBE.

Results
The value obtained for the magnetization is 0.000 μB per cell. For the energy above the lowest structure with this stoichiometry, the calculation gives 0.90 eV per formula unit. The uncorrected energy is -12.9 eV/cell. The density comes out at 6.7 g cm⁻³.

Cell lengths 2.801, 2.801, 6.990 Å; angles 78.44, 78.44, 60.00 degrees
Fractional coordinates of all 4 atoms:
H 0.082 0.082 0.753
H 0.918 0.918 0.247
Se 0.500 0.500 0.500
Pd 0.000 0.000 0.000

This record from Alexandria via LeMat-Bulk describes crystalline K2RbPuO4 at its relaxed geometry. The functional is PBE.

Results
The value obtained for the magnetization is 6.000 μB per cell. As for the formation energy from raw total energies: -201.33 kJ/mol of atoms. The uncorrected energy is -108.0 eV/cell. The density comes out at 5.1 g cm⁻³.

Cell lengths 7.727, 7.727, 7.381 Å; angles 118.53, 118.53, 96.53 degrees
Last column: magnetic moment on the atom in μB.
Fractional coordinates of all 16 atoms:
K 0.500 0.000 0.000  0.00
K 0.500 0.000 0.500  0.00
K 0.000 0.000 0.500  0.00
K 0.500 0.500 0.000  0.00
Rb 0.000 0.500 0.000  0.00
Rb 0.000 0.500 0.500  0.00
Pu 0.500 0.500 0.500  3.40
Pu 0.000 0.000 0.000  3.40
O 0.179 0.836 0.008  -0.12
O 0.664 0.321 0.492  -0.12
O 0.336 0.679 0.508  -0.12
O 0.821 0.164 0.992  -0.12
O 0.750 0.750 0.953  -0.08
O 0.750 0.750 0.547  -0.08
O 0.250 0.250 0.453  -0.08
O 0.250 0.250 0.047  -0.08

This record from Alexandria via LeMat-Bulk describes crystalline Cr2BiSb at its relaxed geometry. The functional is PBE.

Results
The value obtained for the magnetization is 0.000 μB per cell. As for the formation energy from raw total energies: 70.30 kJ/mol of atoms. For the energy above the lowest structure with this stoichiometry, the calculation gives 0.08 eV per formula unit. The uncorrected energy is -24.3 eV/cell. The density comes out at 10.2 g cm⁻³.

Cell lengths 4.641, 4.641, 4.641 Å; angles 60.00, 60.00, 60.00 degrees
Fractional coordinates of all 4 atoms:
Sb 0.000 0.000 0.000
Bi 0.500 0.500 0.500
Cr 0.250 0.250 0.250
Cr 0.750 0.750 0.750

This record from Alexandria via LeMat-Bulk describes crystalline SrPbSCl2 at its relaxed geometry. The functional is PBE.

Results
The value obtained for the magnetization is 0.000 μB per cell. As for the formation energy from raw total energies: -146.75 kJ/mol of atoms. For the energy above the lowest structure with this stoichiometry, the calculation gives 0.00 eV per formula unit. The uncorrected energy is -41.6 eV/cell. The density comes out at 4.5 g cm⁻³.

Cell lengths 4.220, 7.178, 10.111 Å; angles 90.00, 90.00, 107.10 degrees
Fractional coordinates of all 10 atoms:
Sr 0.267 0.535 0.750
Sr 0.733 0.465 0.250
Pb 0.000 0.000 0.500
Pb 0.000 0.000 0.000
S 0.908 0.817 0.750
S 0.092 0.183 0.250
Cl 0.652 0.304 0.570
Cl 0.348 0.696 0.430
Cl 0.348 0.696 0.070
Cl 0.652 0.304 0.930

This record from Alexandria via LeMat-Bulk describes crystalline PrGa2Cu2Ge at its relaxed geometry. The functional is PBE.

Results
The value obtained for the magnetization is 0.000 μB per cell. The uncorrected energy is -24.3 eV/cell. The density comes out at 6.7 g cm⁻³. The calculation puts the calculated formation energy at -0.106 eV per atom.

Cell lengths 4.559, 4.559, 5.743 Å; angles 90.00, 90.00, 90.00 degrees
Fractional coordinates of all 6 atoms:
Pr 0.000 0.000 0.500
Ga 0.500 0.500 0.727
Ga 0.500 0.500 0.273
Cu 0.500 0.000 0.000
Cu 0.000 0.500 0.000
Ge 0.000 0.000 0.000

This record from Alexandria via LeMat-Bulk describes crystalline Nb3TcB7 at its relaxed geometry. The functional is PBE.

Results
The value obtained for the magnetization is 0.000 μB per cell. The uncorrected energy is -187.4 eV/cell. The density comes out at 7.0 g cm⁻³. The calculation puts the calculated formation energy at -0.580 eV per atom.

Cell lengths 3.304, 7.419, 8.948 Å; angles 90.00, 90.00, 102.87 degrees
Fractional coordinates of all 22 atoms:
Nb 0.108 0.215 0.446
Nb 0.892 0.785 0.554
Nb 0.250 0.500 0.750
Nb 0.750 0.500 0.250
Nb 0.108 0.215 0.054
Nb 0.892 0.785 0.946
Tc 0.952 0.903 0.250
Tc 0.048 0.097 0.750
B 0.430 0.861 0.750
B 0.570 0.139 0.250
B 0.486 0.973 0.408
B 0.514 0.027 0.592
B 0.514 0.027 0.908
B 0.486 0.973 0.092
B 0.366 0.732 0.350
B 0.634 0.268 0.650
B 0.272 0.544 0.467
B 0.728 0.456 0.533
B 0.728 0.456 0.967
B 0.272 0.544 0.033
B 0.366 0.732 0.150
B 0.634 0.268 0.850

This record from Alexandria via LeMat-Bulk describes crystalline Nd3Rh5N12 at its relaxed geometry. The functional is PBE.

Results
The value obtained for the magnetization is 0.000 μB per cell. As for the formation energy from raw total energies: 16.18 kJ/mol of atoms. The uncorrected energy is -590.4 eV/cell. The density comes out at 7.0 g cm⁻³.

Cell lengths 11.108, 11.108, 11.108 Å; angles 109.47, 109.47, 109.47 degrees
Fractional coordinates of all 80 atoms:
Nd 0.750 0.375 0.125
Nd 0.875 0.750 0.125
Nd 0.375 0.750 0.625
Nd 0.250 0.125 0.375
Nd 0.875 0.125 0.250
Nd 0.375 0.625 0.250
Nd 0.625 0.375 0.750
Nd 0.125 0.875 0.750
Nd 0.750 0.875 0.625
Nd 0.625 0.250 0.375
Nd 0.125 0.250 0.875
Nd 0.250 0.625 0.875
Rh 0.125 0.375 0.250
Rh 0.000 0.500 0.000
Rh 0.000 0.000 0.000
Rh 0.375 0.250 0.125
Rh 0.500 0.000 0.500
Rh 0.500 0.500 0.000
Rh 0.125 0.750 0.375
Rh 0.750 0.125 0.875
Rh 0.750 0.625 0.375
Rh 0.375 0.125 0.750
Rh 0.625 0.875 0.250
Rh 0.500 0.500 0.500
Rh 0.500 0.000 0.000
Rh 0.000 0.000 0.500
Rh 0.250 0.375 0.625
Rh 0.250 0.875 0.125
Rh 0.000 0.500 0.500
Rh 0.875 0.250 0.625
Rh 0.625 0.750 0.875
Rh 0.875 0.625 0.750
N 0.702 0.115 0.020
N 0.317 0.520 0.404
N 0.980 0.385 0.298
N 0.520 0.202 0.115
N 0.587 0.702 0.683
N 0.980 0.596 0.183
N 0.317 0.798 0.413
N 0.096 0.913 0.115
N 0.596 0.980 0.683
N 0.702 0.587 0.183
N 0.798 0.480 0.385
N 0.817 0.904 0.020
N 0.115 0.702 0.520
N 0.385 0.404 0.087
N 0.087 0.904 0.385
N 0.413 0.115 0.596
N 0.087 0.183 0.202
N 0.480 0.683 0.096
N 0.817 0.913 0.298
N 0.115 0.413 0.096
N 0.385 0.980 0.798
N 0.596 0.615 0.413
N 0.904 0.817 0.520
N 0.798 0.317 0.913
N 0.404 0.385 0.587
N 0.096 0.183 0.480
N 0.202 0.683 0.087
N 0.183 0.087 0.702
N 0.615 0.020 0.202
N 0.885 0.587 0.904
N 0.520 0.317 0.904
N 0.587 0.885 0.404
N 0.913 0.817 0.798
N 0.913 0.096 0.615
N 0.885 0.298 0.480
N 0.183 0.096 0.980
N 0.615 0.596 0.913
N 0.404 0.020 0.317
N 0.298 0.413 0.817
N 0.202 0.520 0.615
N 0.904 0.087 0.885
N 0.683 0.202 0.587
N 0.480 0.798 0.885
N 0.020 0.404 0.817
N 0.413 0.298 0.317
N 0.020 0.615 0.702
N 0.683 0.480 0.596
N 0.298 0.885 0.980

This record from Alexandria via LeMat-Bulk describes crystalline YEr2Mg6 at its relaxed geometry. The functional is PBE.

Results
The value obtained for the magnetization is 0.000 μB per cell. The uncorrected energy is -25.8 eV/cell. The density comes out at 4.1 g cm⁻³. The calculation puts the calculated formation energy at -0.066 eV per atom.

Cell lengths 3.284, 9.038, 9.038 Å; angles 59.99, 90.00, 90.00 degrees
Fractional coordinates of all 9 atoms:
Y 0.000 0.000 0.000
Er 0.000 0.333 0.333
Er 0.000 0.667 0.667
Mg 0.499 0.666 0.000
Mg 0.501 0.000 0.334
Mg 0.501 0.334 0.000
Mg 0.500 0.666 0.334
Mg 0.499 0.000 0.666
Mg 0.500 0.334 0.666